First-principles (PBE-GGA) data for Mo2AsRu after structural relaxation, as listed in Alexandria via LeMat-Bulk.

Structure (POSCAR):
```
Mo2AsRu
1.0
2.959 0.000 0.000
0.000 2.959 0.000
0.000 0.000 6.834
Mo As Ru
2 1 1
direct
0.000 0.000 0.238 Mo
0.000 0.000 0.762 Mo
0.500 0.500 0.000 As
0.500 0.500 0.500 Ru
```

Properties
Space-group type ... P4/mmm
DFT total energy ... -8.91 eV/atom
Crystal system ... tetragonal
Fermi-level density of states ... 0.523 states/eV per atom